[1]
PrY2Ni: relaxed, PBE.

Unit cell a=3.8588 b=3.8588 c=9.3220 alpha=78.05 beta=78.05 gamma=60.00
Last column: nearest neighbours and their distance in Å.
Element x y z (fractional)
Pr1 0.5019 0.5019 0.4942  6 Y 3.66-3.76, 6 Pr 3.86
Ni1 0.6656 0.6656 0.0033  6 Y 2.71-2.73
Y1 0.2755 0.2755 0.1734  3 Ni 2.71
Y2 0.0570 0.0570 0.8291  3 Ni 2.73

Values from the calculation:
Final energy: -5.982 eV/atom
ΔH_f (0 K): -110 meV/atom
Relative energy among the computed polymorphs: 99.4 meV/atom
Spin magnetization: 0.0 μB per formula unit

***

[2]
PrYNi: relaxed, PBE.

Unit cell a=3.4826 b=3.4826 c=6.8322 alpha=104.77 beta=104.77 gamma=90.00
Last column: nearest neighbours and their distance in Å.
Element x y z (fractional)
Ni1 0.3251 0.3251 0.6503  4 Y 2.89, 4 Pr 3.06
Y1 0.7066 0.7066 0.4133  4 Ni 2.89
Pr1 0.9682 0.9682 0.9365  4 Ni 3.06, 1 Y 3.33

Values from the calculation:
Final energy: -5.842 eV/atom
ΔH_f (0 K): -167 meV/atom
Relative energy among the computed polymorphs: 67.4 meV/atom
Spin magnetization: 0.0 μB per formula unit

***

[3]
PrYZnNi: relaxed, PBE.

Unit cell a=5.0322 b=5.0322 c=5.0322 alpha=60.00 beta=60.00 gamma=60.00
Last column: nearest neighbours and their distance in Å.
Element x y z (fractional)
Ni1 0.0000 0.0000 0.0000  4 Y 3.08, 4 Pr 3.08
Y1 0.7500 0.7500 0.7500  4 Ni 3.08, 4 Zn 3.08
Pr1 0.2500 0.2500 0.2500  4 Ni 3.08, 4 Zn 3.08
Zn1 0.5000 0.5000 0.5000  4 Pr 3.08, 4 Y 3.08

Values from the calculation:
Final energy: -4.842 eV/atom
ΔH_f (0 K): -267 meV/atom
Spin magnetization: 0.0 μB per formula unit

***

[4]
PrZn2Ni2: relaxed, PBE.

Unit cell a=5.2663 b=5.2664 c=7.9887 alpha=99.01 beta=99.01 gamma=121.57
Last column: nearest neighbours and their distance in Å.
Element x y z (fractional)
Zn1 0.7449 0.9947 0.4902  4 Ni 2.43-2.47, 2 Zn 2.64
Pr1 0.8749 0.6251 0.7500  6 Ni 2.93-3.07, 4 Zn 3.15
Pr2 0.1251 0.3749 0.2500  6 Ni 2.93-3.07, 4 Zn 3.15
Ni1 0.5566 0.9434 0.7500  4 Zn 2.43-2.47
Zn2 0.5053 0.7551 0.0098  4 Ni 2.43-2.47, 2 Zn 2.64
Zn3 0.2551 0.0053 0.5098  4 Ni 2.43-2.47, 2 Zn 2.64
Ni2 0.4434 0.0566 0.2500  4 Zn 2.43-2.47
Ni3 0.1932 0.3068 0.7500  4 Zn 2.43-2.47
Zn4 0.4947 0.2449 0.9902  4 Ni 2.43-2.47, 2 Zn 2.64
Ni4 0.8068 0.6932 0.2500  4 Zn 2.43-2.47

Values from the calculation:
Final energy: -4.010 eV/atom
ΔH_f (0 K): -232 meV/atom
Relative energy among the computed polymorphs: 65.1 meV/atom
Spin magnetization: 0.0 μB per formula unit

***

[5]
Pr5Zn4Ni: relaxed, PBE.

Unit cell a=3.6781 b=3.6781 c=18.4147 alpha=90.00 beta=90.00 gamma=90.00
Last column: nearest neighbours and their distance in Å.
Element x y z (fractional)
Pr1 0.5000 0.5000 0.2962  8 Zn 3.19-3.20
Zn1 0.0000 0.0000 0.1958  8 Pr 3.19-3.24
Pr2 0.5000 0.5000 0.7038  8 Zn 3.19-3.20
Zn2 0.0000 0.0000 0.3978  8 Pr 3.20-3.21
Pr3 0.5000 0.5000 0.5000  8 Zn 3.21
Pr4 0.5000 0.5000 0.0911  4 Ni 3.09, 4 Zn 3.24, 1 Pr 3.35
Pr5 0.5000 0.5000 0.9089  4 Ni 3.09, 4 Zn 3.24, 1 Pr 3.35
Zn3 0.0000 0.0000 0.6022  8 Pr 3.20-3.21
Ni1 0.0000 0.0000 0.0000  8 Pr 3.09
Zn4 0.0000 0.0000 0.8042  8 Pr 3.19-3.24

Values from the calculation:
Final energy: -3.755 eV/atom
ΔH_f (0 K): -278 meV/atom
Spin magnetization: 0.0 μB per formula unit

***

[6]
PrZn2Ni2: relaxed, PBE.

Unit cell a=4.0782 b=4.6784 c=5.2889 alpha=107.61 beta=112.68 gamma=90.00
Last column: nearest neighbours and their distance in Å.
Element x y z (fractional)
Ni1 0.7340 0.1402 0.4680  4 Zn 2.46-2.49, 2 Ni 2.50
Ni2 0.2660 0.8598 0.5320  4 Zn 2.46-2.49, 2 Ni 2.50
Pr1 0.0000 0.0000 0.0000  6 Ni 2.88-2.97
Zn1 0.6478 0.5795 0.2955  4 Ni 2.46-2.49, 1 Zn 2.73
Zn2 0.3522 0.4205 0.7045  4 Ni 2.46-2.49, 1 Zn 2.73

Values from the calculation:
Final energy: -4.075 eV/atom
ΔH_f (0 K): -297 meV/atom
Relative energy among the computed polymorphs: 0.0 meV/atom
Spin magnetization: 0.0 μB per formula unit

***

[7]
PrZn2Ni8: relaxed, PBE.

Unit cell a=6.0381 b=6.0381 c=4.7258 alpha=90.00 beta=90.00 gamma=90.00
Last column: nearest neighbours and their distance in Å.
Element x y z (fractional)
Ni1 0.8077 0.8077 0.7458  4 Ni 2.32-2.40, 2 Zn 2.50
Ni2 0.1923 0.1923 0.7458  4 Ni 2.32-2.40, 2 Zn 2.50
Ni3 0.8077 0.8077 0.2542  4 Ni 2.32-2.40, 2 Zn 2.50
Pr1 0.5000 0.5000 0.5000  8 Ni 2.87
Ni4 0.8077 0.1923 0.7458  4 Ni 2.32-2.40, 2 Zn 2.50
Zn1 0.5000 0.0000 0.0000  8 Ni 2.50
Ni5 0.8077 0.1923 0.2542  4 Ni 2.32-2.40, 2 Zn 2.50
Zn2 0.0000 0.5000 0.0000  8 Ni 2.50
Ni6 0.1923 0.8077 0.2542  4 Ni 2.32-2.40, 2 Zn 2.50
Ni7 0.1923 0.1923 0.2542  4 Ni 2.32-2.40, 2 Zn 2.50
Ni8 0.1923 0.8077 0.7458  4 Ni 2.32-2.40, 2 Zn 2.50

Values from the calculation:
Final energy: -4.560 eV/atom
ΔH_f (0 K): 311 meV/atom
Spin magnetization: 3.3 μB per formula unit

***

[8]
Pr2Zn3Ni4: relaxed, PBE.

Unit cell a=5.3858 b=7.1412 c=8.2672 alpha=90.00 beta=109.01 gamma=90.00
Last column: nearest neighbours and their distance in Å.
Element x y z (fractional)
Ni1 0.6684 0.5075 0.3368  5 Zn 2.49-2.69, 2 Ni 2.74
Zn1 0.9818 0.2500 0.4636  5 Ni 2.49-2.69, 2 Zn 2.69
Ni2 0.1786 0.7500 0.8572  3 Zn 2.50-2.51, 4 Ni 2.69-2.74, 2 Pr 2.78
Ni3 0.6786 0.7500 0.8572  3 Zn 2.50-2.51, 4 Ni 2.69-2.74, 2 Pr 2.78
Zn2 0.5182 0.7500 0.5364  5 Ni 2.49-2.69, 2 Zn 2.69
Zn3 0.0000 0.0000 0.0000  6 Ni 2.50-2.63
Ni4 0.3214 0.2500 0.1428  3 Zn 2.50-2.51, 4 Ni 2.69-2.74, 2 Pr 2.78
Zn4 0.4818 0.2500 0.4636  5 Ni 2.49-2.69, 2 Zn 2.69
Pr1 0.1100 0.5807 0.2201  5 Ni 2.78-3.08, 2 Zn 3.06
Pr2 0.8900 0.4193 0.7799  5 Ni 2.78-3.08, 2 Zn 3.06
Pr3 0.6100 0.9193 0.2201  5 Ni 2.78-3.08, 2 Zn 3.06
Pr4 0.3900 0.0807 0.7799  5 Ni 2.78-3.08, 2 Zn 3.06
Zn5 0.5000 0.5000 0.0000  6 Ni 2.50-2.63
Ni5 0.1684 0.9925 0.3368  5 Zn 2.49-2.69, 2 Ni 2.74
Zn6 0.0182 0.7500 0.5364  5 Ni 2.49-2.69, 2 Zn 2.69
Ni6 0.8214 0.2500 0.1428  3 Zn 2.50-2.51, 4 Ni 2.69-2.74, 2 Pr 2.78
Ni7 0.8316 0.0075 0.6632  5 Zn 2.49-2.69, 2 Ni 2.74
Ni8 0.3316 0.4925 0.6632  5 Zn 2.49-2.69, 2 Ni 2.74

Values from the calculation:
Final energy: -4.359 eV/atom
ΔH_f (0 K): -302 meV/atom
Spin magnetization: 0.0 μB per formula unit

***

[9]
Pr12Zn6Ni: relaxed, PBE.

Unit cell a=8.2796 b=8.2796 c=8.2796 alpha=93.77 beta=93.77 gamma=93.77
Last column: nearest neighbours and their distance in Å.
Element x y z (fractional)
Pr1 0.4566 0.8057 0.5706  4 Zn 3.07-3.31
Pr2 0.9676 0.0848 0.3214  1 Ni 2.74
Zn1 0.3420 0.1483 0.7423  8 Pr 3.07-3.31
Pr3 0.9152 0.6786 0.0324  1 Ni 2.74
Pr4 0.5706 0.4566 0.8057  4 Zn 3.07-3.31
Zn2 0.6580 0.8517 0.2577  8 Pr 3.07-3.31
Pr5 0.3214 0.9676 0.0848  1 Ni 2.74
Pr6 0.0324 0.9152 0.6786  1 Ni 2.74
Zn3 0.2577 0.6580 0.8517  8 Pr 3.07-3.31
Zn4 0.8517 0.2577 0.6580  8 Pr 3.07-3.31
Pr7 0.8057 0.5706 0.4566  4 Zn 3.07-3.31
Pr8 0.6786 0.0324 0.9152  1 Ni 2.74
Zn5 0.1483 0.7423 0.3420  8 Pr 3.07-3.31
Pr9 0.1943 0.4294 0.5434  4 Zn 3.07-3.31
Pr10 0.4294 0.5434 0.1943  4 Zn 3.07-3.31
Pr11 0.5434 0.1943 0.4294  4 Zn 3.07-3.31
Zn6 0.7423 0.3420 0.1483  8 Pr 3.07-3.31
Pr12 0.0848 0.3214 0.9676  1 Ni 2.74
Ni1 0.0000 0.0000 0.0000  6 Pr 2.74

Values from the calculation:
Final energy: -3.819 eV/atom
ΔH_f (0 K): -93 meV/atom
Spin magnetization: 0.0 μB per formula unit

***

[10]
PrZn2Ni9: relaxed, PBE.

Unit cell a=2.7039 b=8.1314 c=8.1314 alpha=120.00 beta=90.00 gamma=90.00
Last column: nearest neighbours and their distance in Å.
Element x y z (fractional)
Ni1 0.0000 0.5000 0.5000  2 Zn 2.35, 8 Ni 2.60
Ni2 0.5000 0.1857 0.3715  2 Zn 2.48, 8 Ni 2.60-2.70
Ni3 0.5000 0.3715 0.1857  2 Zn 2.48, 8 Ni 2.60-2.70
Ni4 0.0000 0.5000 0.0000  2 Zn 2.35, 8 Ni 2.60
Ni5 0.5000 0.1857 0.8143  2 Zn 2.48, 8 Ni 2.60-2.70
Ni6 0.5000 0.8143 0.1857  2 Zn 2.48, 8 Ni 2.60-2.70
Ni7 0.0000 0.0000 0.5000  2 Zn 2.35, 8 Ni 2.60
Zn1 0.0000 0.3333 0.6667  9 Ni 2.35-2.48
Ni8 0.5000 0.6285 0.8143  2 Zn 2.48, 8 Ni 2.60-2.70
Zn2 0.0000 0.6667 0.3333  9 Ni 2.35-2.48
Pr1 0.0000 0.0000 0.0000  2 Pr 2.70, 12 Ni 2.94
Ni9 0.5000 0.8143 0.6285  2 Zn 2.48, 8 Ni 2.60-2.70

Values from the calculation:
Final energy: -4.895 eV/atom
ΔH_f (0 K): 52 meV/atom
Relative energy among the computed polymorphs: 249.4 meV/atom
Spin magnetization: 1.0 μB per formula unit

***

[11]
Pr2Zn7Ni: relaxed, PBE.

Unit cell a=4.3056 b=4.3056 c=10.2100 alpha=90.00 beta=90.00 gamma=90.00
Last column: nearest neighbours and their distance in Å.
Element x y z (fractional)
Ni1 0.5000 0.5000 0.0000  4 Zn 2.48
Pr1 0.5000 0.0000 0.7610  2 Ni 3.25, 14 Zn 3.25-3.43
Zn1 0.0000 0.5000 0.8789  2 Ni 2.48, 3 Zn 2.48-2.49
Zn2 0.0000 0.5000 0.6350  5 Zn 2.49-2.56
Pr2 0.0000 0.5000 0.2390  2 Ni 3.25, 14 Zn 3.25-3.43
Zn3 0.5000 0.5000 0.5000  4 Zn 2.56
Zn4 0.0000 0.0000 0.0000  4 Zn 2.48
Zn5 0.5000 0.0000 0.1211  2 Ni 2.48, 3 Zn 2.48-2.49
Zn6 0.0000 0.0000 0.5000  4 Zn 2.56
Zn7 0.5000 0.0000 0.3650  5 Zn 2.49-2.56

Values from the calculation:
Final energy: -2.708 eV/atom
ΔH_f (0 K): -282 meV/atom
Spin magnetization: 0.0 μB per formula unit

***

[12]
PrZn4Ni4: relaxed, PBE.

Unit cell a=4.2493 b=8.0464 c=8.0464 alpha=90.00 beta=90.00 gamma=90.00
Last column: nearest neighbours and their distance in Å.
Element x y z (fractional)
Zn1 0.5001 0.5891 0.1242  4 Ni 2.37-2.54, 1 Zn 2.46
Zn2 0.0001 0.3758 0.0891  4 Ni 2.37-2.54, 1 Zn 2.46
Zn3 0.5001 0.4109 0.8758  4 Ni 2.37-2.54, 1 Zn 2.46
Ni1 0.0001 0.6392 0.2621  4 Zn 2.37-2.54
Pr1 0.0000 0.0000 0.0000  8 Ni 3.07, 4 Zn 3.11
Ni2 0.4999 0.8608 0.2379  4 Zn 2.37-2.54
Ni3 0.4999 0.1392 0.7621  4 Zn 2.37-2.54
Zn4 0.4999 0.8758 0.5891  4 Ni 2.37-2.54, 1 Zn 2.46
Ni4 0.0001 0.3608 0.7379  4 Zn 2.37-2.54
Zn5 0.9999 0.9109 0.3758  4 Ni 2.37-2.54, 1 Zn 2.46
Zn6 0.0001 0.6242 0.9109  4 Ni 2.37-2.54, 1 Zn 2.46
Zn7 0.4999 0.1242 0.4109  4 Ni 2.37-2.54, 1 Zn 2.46
Pr2 0.5000 0.5000 0.5000  8 Ni 3.07, 4 Zn 3.11
Ni5 0.5001 0.2379 0.1392  4 Zn 2.37-2.54
Zn8 0.9999 0.0891 0.6242  4 Ni 2.37-2.54, 1 Zn 2.46
Ni6 0.5001 0.7621 0.8608  4 Zn 2.37-2.54
Ni7 0.9999 0.2621 0.3608  4 Zn 2.37-2.54
Ni8 0.9999 0.7379 0.6392  4 Zn 2.37-2.54

Values from the calculation:
Final energy: -3.776 eV/atom
ΔH_f (0 K): -110 meV/atom
Spin magnetization: 0.0 μB per formula unit

***

| no. | N(E_F) (states/eV/cell) |
| --- | --- |
| 1 | 4.7 |
| 2 | 3.6 |
| 3 | 3.5 |
| 4 | 5.1 |
| 5 | 9.4 |
| 6 | 3.3 |
| 7 | 18.5 |
| 8 | 8.9 |
| 9 | 26.7 |
| 10 | 18.1 |
| 11 | 7.8 |
| 12 | 6.1 |